Record 1
Density functional theory data (GGA-PBEsol) for crystalline ZnInSe3 at its relaxed geometry.

Cell lengths 4.8923, 4.8923, 4.8923 Å; angles 90.00, 90.00, 90.00 degrees
Fractional positions:
Zn: 0.0000 0.0000 0.0000
In: 0.5000 0.5000 0.5000
Se: 0.0000 0.0000 0.5000
Se: 0.0000 0.5000 0.0000
Se: 0.5000 0.0000 0.0000

Properties
* density: 5.9 Mg/m³
* E_form (uncorrected): 0.17 eV/atom
* energy above the lowest structure with this stoichiometry: 0 meV per atom


Record 2
Density functional theory data (GGA-PBEsol) for crystalline ZnIn2Se4 at its relaxed geometry.

Cell lengths 6.9412, 6.9412, 6.9412 Å; angles 131.18, 131.18, 71.52 degrees
Fractional positions:
Zn: 0.0000 0.0000 0.0000
In: 0.2500 0.7500 0.5000
In: 0.7500 0.2500 0.5000
Se: 0.1593 0.6288 0.0000
Se: 0.3712 0.3712 0.5305
Se: 0.6288 0.1593 0.0000
Se: 0.8407 0.8407 0.4695

Properties
* density: 5.5 Mg/m³
* E_form (uncorrected): -0.56 eV/atom


Record 3
Density functional theory data (GGA-PBEsol) for crystalline ZnIn3Se at its relaxed geometry.

Cell lengths 5.4034, 5.4034, 5.4034 Å; angles 90.00, 90.00, 90.00 degrees
Fractional positions:
Zn: 0.0000 0.0000 0.0000
In: 0.0000 0.5000 0.5000
In: 0.5000 0.0000 0.5000
In: 0.5000 0.5000 0.0000
Se: 0.5000 0.5000 0.5000

Properties
* density: 5.1 Mg/m³
* E_form (uncorrected): 0.51 eV/atom


Number 1: total magnetization 0.00 μB/f.u.. Number 2: total magnetization 0.00 μB/f.u.. Number 3: total magnetization 0.00 μB/f.u..